Entry 1:
Crystalline TbGa3Rh3 at its relaxed geometry. Source: the Alexandria database, functional GGA-PBE.

Distance to the lowest polymorph of the same formula   0.00 eV/f.u.
V   16.47 Å³ per atom
Total magnetic moment   0.000 μB/atom
D(E_F)   17.63 states/eV/cell
ΔE_f   -0.67 eV per atom

a = 7.7258 Å, b = 7.7258 Å, c = 7.7258 Å
α = 90.00°, β = 90.00°, γ = 90.00°
Closest atoms and distances in Å follow each position.
Positions (direct):
Tb 0.0613 0.4387 0.5613  6 Ga 2.87-2.95, 5 Rh 2.87-3.01
Tb 0.4387 0.5613 0.0613  6 Ga 2.87-2.95, 5 Rh 2.87-3.01
Tb 0.5613 0.0613 0.4387  6 Ga 2.87-2.95, 5 Rh 2.87-3.01
Tb 0.9387 0.9387 0.9387  6 Ga 2.87-2.95, 5 Rh 2.87-3.01
Ga 0.0119 0.8061 0.5876  6 Rh 2.59-2.83, 2 Ga 2.70, 1 Tb 2.87
Ga 0.0876 0.4881 0.1939  6 Rh 2.59-2.83, 2 Ga 2.70, 1 Tb 2.87
Ga 0.1939 0.0876 0.4881  6 Rh 2.59-2.83, 2 Ga 2.70, 1 Tb 2.87
Ga 0.3061 0.9124 0.9881  6 Rh 2.59-2.83, 2 Ga 2.70, 1 Tb 2.87
Ga 0.4124 0.5119 0.6939  6 Rh 2.59-2.83, 2 Ga 2.70, 1 Tb 2.87
Ga 0.4881 0.1939 0.0876  6 Rh 2.59-2.83, 2 Ga 2.70, 1 Tb 2.87
Ga 0.5119 0.6939 0.4124  6 Rh 2.59-2.83, 2 Ga 2.70, 1 Tb 2.87
Ga 0.5876 0.0119 0.8061  6 Rh 2.59-2.83, 2 Ga 2.70, 1 Tb 2.87
Ga 0.6939 0.4124 0.5119  6 Rh 2.59-2.83, 2 Ga 2.70, 1 Tb 2.87
Ga 0.8061 0.5876 0.0119  6 Rh 2.59-2.83, 2 Ga 2.70, 1 Tb 2.87
Ga 0.9124 0.9881 0.3061  6 Rh 2.59-2.83, 2 Ga 2.70, 1 Tb 2.87
Ga 0.9881 0.3061 0.9124  6 Rh 2.59-2.83, 2 Ga 2.70, 1 Tb 2.87
Rh 0.1175 0.6175 0.8825  6 Ga 2.62-2.82, 3 Tb 2.87, 1 Rh 2.93
Rh 0.1636 0.1636 0.1636  6 Ga 2.59-2.61
Rh 0.2158 0.7842 0.2842  6 Ga 2.59-2.83
Rh 0.2842 0.2158 0.7842  6 Ga 2.59-2.83
Rh 0.3364 0.8364 0.6636  6 Ga 2.59-2.61
Rh 0.3825 0.3825 0.3825  6 Ga 2.62-2.82, 3 Tb 2.87, 1 Rh 2.93
Rh 0.6175 0.8825 0.1175  6 Ga 2.62-2.82, 3 Tb 2.87, 1 Rh 2.93
Rh 0.6636 0.3364 0.8364  6 Ga 2.59-2.61
Rh 0.7158 0.7158 0.7158  6 Ga 2.59-2.83
Rh 0.7842 0.2842 0.2158  6 Ga 2.59-2.83
Rh 0.8364 0.6636 0.3364  6 Ga 2.59-2.61
Rh 0.8825 0.1175 0.6175  6 Ga 2.62-2.82, 3 Tb 2.87, 1 Rh 2.93


Entry 2:
Crystalline TbGa3Rh3 at its relaxed geometry. Source: the Alexandria database, functional GGA-PBE.

Distance to the lowest polymorph of the same formula   0.56 eV/f.u.
V   17.18 Å³ per atom
Total magnetic moment   0.000 μB/atom
D(E_F)   7.32 states/eV/cell
ΔE_f   -0.59 eV per atom

a = 7.2746 Å, b = 7.2746 Å, c = 7.2746 Å
α = 55.00°, β = 55.00°, γ = 55.00°
Closest atoms and distances in Å follow each position.
Positions (direct):
Tb 0.1617 0.1617 0.1617  6 Rh 2.82-2.94, 6 Ga 3.08-3.13
Tb 0.8383 0.8383 0.8383  6 Rh 2.82-2.94, 6 Ga 3.08-3.13
Ga 0.0407 0.2364 0.6001  4 Rh 2.53-2.64, 2 Ga 2.66
Ga 0.2364 0.6001 0.0407  4 Rh 2.53-2.64, 2 Ga 2.66
Ga 0.3999 0.9593 0.7636  4 Rh 2.53-2.64, 2 Ga 2.66
Ga 0.6001 0.0407 0.2364  4 Rh 2.53-2.64, 2 Ga 2.66
Ga 0.7636 0.3999 0.9593  4 Rh 2.53-2.64, 2 Ga 2.66
Ga 0.9593 0.7636 0.3999  4 Rh 2.53-2.64, 2 Ga 2.66
Rh 0.1891 0.4260 0.6785  4 Ga 2.53-2.64, 1 Tb 2.82
Rh 0.3215 0.8109 0.5740  4 Ga 2.53-2.64, 1 Tb 2.82
Rh 0.4260 0.6785 0.1891  4 Ga 2.53-2.64, 1 Tb 2.82
Rh 0.5740 0.3215 0.8109  4 Ga 2.53-2.64, 1 Tb 2.82
Rh 0.6785 0.1891 0.4260  4 Ga 2.53-2.64, 1 Tb 2.82
Rh 0.8109 0.5740 0.3215  4 Ga 2.53-2.64, 1 Tb 2.82


Entry 3:
Crystalline Tb6GaRh5 at its relaxed geometry. Source: the Alexandria database, functional GGA-PBE.

V   20.87 Å³ per atom
Total magnetic moment   0.000 μB/atom
D(E_F)   6.55 states/eV/cell
ΔE_f   -0.78 eV per atom

a = 8.5121 Å, b = 8.5121 Å, c = 8.5121 Å
α = 146.59°, β = 131.90°, γ = 59.83°
Closest atoms and distances in Å follow each position.
Positions (direct):
Tb 0.0765 0.3305 0.7461  7 Rh 2.98-3.03, 1 Ga 3.06
Tb 0.2411 0.0000 0.2411  6 Rh 2.96-3.02, 2 Ga 3.04
Tb 0.4156 0.6695 0.7461  7 Rh 2.98-3.03, 1 Ga 3.06
Tb 0.5844 0.3305 0.2539  7 Rh 2.98-3.03, 1 Ga 3.06
Tb 0.7589 0.0000 0.7589  6 Rh 2.96-3.02, 2 Ga 3.04
Tb 0.9235 0.6695 0.2539  7 Rh 2.98-3.03, 1 Ga 3.06
Ga 0.5000 0.5000 0.0000  8 Tb 3.04-3.06
Rh 0.0000 0.5000 0.5000  8 Tb 2.96-3.03
Rh 0.1679 0.1679 0.0000  8 Tb 2.98-2.99
Rh 0.3354 0.8354 0.5000  8 Tb 2.98-3.02
Rh 0.6646 0.1646 0.5000  8 Tb 2.98-3.02
Rh 0.8321 0.8321 0.0000  8 Tb 2.98-2.99


Entry 4:
Crystalline Tb11Ga9Rh4 at its relaxed geometry. Source: the Alexandria database, functional GGA-PBE.

V   22.16 Å³ per atom
Total magnetic moment   0.000 μB/atom
D(E_F)   12.42 states/eV/cell
ΔE_f   -0.71 eV per atom

a = 12.5622 Å, b = 12.5622 Å, c = 3.6473 Å
α = 90.00°, β = 90.00°, γ = 112.48°
Closest atoms and distances in Å follow each position.
Positions (direct):
Tb 0.0000 0.0000 0.0000  8 Ga 3.10
Tb 0.0693 0.4120 0.0000  2 Rh 2.75
Tb 0.1681 0.8319 0.0000  8 Ga 3.11-3.42, 2 Tb 3.36
Tb 0.3072 0.3072 0.0000  4 Rh 2.85
Tb 0.3729 0.6271 0.0000  4 Rh 2.88, 6 Ga 3.21-3.22
Tb 0.4120 0.0693 0.0000  2 Rh 2.75
Tb 0.5880 0.9307 0.0000  2 Rh 2.75
Tb 0.6271 0.3729 0.0000  4 Rh 2.88, 6 Ga 3.21-3.22
Tb 0.6928 0.6928 0.0000  4 Rh 2.85
Tb 0.8319 0.1681 0.0000  8 Ga 3.11-3.42, 2 Tb 3.36
Tb 0.9307 0.5880 0.0000  2 Rh 2.75
Ga 0.0763 0.2162 0.5000  1 Rh 2.85, 1 Ga 2.92, 4 Tb 3.09-3.10
Ga 0.1641 0.6302 0.5000  1 Rh 2.84, 1 Ga 2.87, 4 Tb 3.11-3.12
Ga 0.2162 0.0763 0.5000  1 Rh 2.85, 1 Ga 2.92, 4 Tb 3.09-3.10
Ga 0.3698 0.8359 0.5000  1 Rh 2.84, 1 Ga 2.87, 4 Tb 3.11-3.12
Ga 0.5000 0.5000 0.5000  4 Rh 3.03, 8 Tb 3.22-3.25
Ga 0.6302 0.1641 0.5000  1 Rh 2.84, 1 Ga 2.87, 4 Tb 3.11-3.12
Ga 0.7838 0.9237 0.5000  1 Rh 2.85, 1 Ga 2.92, 4 Tb 3.09-3.10
Ga 0.8359 0.3698 0.5000  1 Rh 2.84, 1 Ga 2.87, 4 Tb 3.11-3.12
Ga 0.9237 0.7838 0.5000  1 Rh 2.85, 1 Ga 2.92, 4 Tb 3.09-3.10
Rh 0.2431 0.4461 0.5000  6 Tb 2.75-2.88, 3 Ga 2.84-3.03
Rh 0.4461 0.2431 0.5000  6 Tb 2.75-2.88, 3 Ga 2.84-3.03
Rh 0.5539 0.7569 0.5000  6 Tb 2.75-2.88, 3 Ga 2.84-3.03
Rh 0.7569 0.5539 0.5000  6 Tb 2.75-2.88, 3 Ga 2.84-3.03


Entry 5:
Crystalline TbGaRh at its relaxed geometry. Source: the Alexandria database, functional GGA-PBE.

V   21.06 Å³ per atom
Total magnetic moment   0.000 μB/atom
D(E_F)   8.85 states/eV/cell
ΔE_f   -0.59 eV per atom

a = 8.1559 Å, b = 7.1217 Å, c = 6.7005 Å
α = 72.25°, β = 56.27°, γ = 51.48°
Closest atoms and distances in Å follow each position.
Positions (direct):
Tb 0.0000 0.0000 0.0000  4 Rh 2.92-3.23, 4 Ga 3.23-3.24
Tb 0.0000 0.0000 0.5000  4 Rh 2.92-3.23, 4 Ga 3.23-3.24
Tb 0.0000 0.5000 0.0000  4 Rh 2.92-3.23, 4 Ga 3.23-3.24
Tb 0.5000 0.0000 0.0000  4 Rh 2.92-3.23, 4 Ga 3.23-3.24
Ga 0.2452 0.5048 0.2452  4 Rh 2.49-2.55
Ga 0.4952 0.7548 0.4952  4 Rh 2.49-2.55
Ga 0.5048 0.2452 0.5048  4 Rh 2.49-2.55
Ga 0.7548 0.4952 0.7548  4 Rh 2.49-2.55
Rh 0.1991 0.1991 0.5509  4 Ga 2.49-2.55
Rh 0.4491 0.4491 0.8009  4 Ga 2.49-2.55
Rh 0.5509 0.5509 0.1991  4 Ga 2.49-2.55
Rh 0.8009 0.8009 0.4491  4 Ga 2.49-2.55


Entry 6:
Crystalline TbGa12Rh4 at its relaxed geometry. Source: the Alexandria database, functional GGA-PBE.

V   19.73 Å³ per atom
Total magnetic moment   0.000 μB/atom
D(E_F)   6.70 states/eV/cell
ΔE_f   -0.23 eV per atom

a = 7.5815 Å, b = 7.5815 Å, c = 7.5815 Å
α = 109.47°, β = 109.47°, γ = 109.47°
Closest atoms and distances in Å follow each position.
Positions (direct):
Tb 0.0000 0.0000 0.0000  12 Ga 3.28
Ga 0.1575 0.3403 0.4978  2 Rh 2.46, 1 Ga 2.76
Ga 0.1575 0.6597 0.8172  2 Rh 2.46, 1 Ga 2.76
Ga 0.1828 0.8425 0.3403  2 Rh 2.46, 1 Ga 2.76
Ga 0.3403 0.1828 0.8425  2 Rh 2.46, 1 Ga 2.76
Ga 0.3403 0.4978 0.1575  2 Rh 2.46, 1 Ga 2.76
Ga 0.4978 0.1575 0.3403  2 Rh 2.46, 1 Ga 2.76
Ga 0.5022 0.8425 0.6597  2 Rh 2.46, 1 Ga 2.76
Ga 0.6597 0.5022 0.8425  2 Rh 2.46, 1 Ga 2.76
Ga 0.6597 0.8172 0.1575  2 Rh 2.46, 1 Ga 2.76
Ga 0.8172 0.1575 0.6597  2 Rh 2.46, 1 Ga 2.76
Ga 0.8425 0.3403 0.1828  2 Rh 2.46, 1 Ga 2.76
Ga 0.8425 0.6597 0.5022  2 Rh 2.46, 1 Ga 2.76
Rh 0.0000 0.0000 0.5000  6 Ga 2.46
Rh 0.0000 0.5000 0.0000  6 Ga 2.46
Rh 0.5000 0.0000 0.0000  6 Ga 2.46
Rh 0.5000 0.5000 0.5000  6 Ga 2.46


Entry 7:
Crystalline Tb3GaRh2 at its relaxed geometry. Source: the Alexandria database, functional GGA-PBE.

Distance to the lowest polymorph of the same formula   0.00 eV/f.u.
V   21.38 Å³ per atom
Total magnetic moment   0.000 μB/atom
D(E_F)   4.24 states/eV/cell
ΔE_f   -0.75 eV per atom

a = 3.5134 Å, b = 3.5134 Å, c = 10.3898 Å
α = 90.00°, β = 90.00°, γ = 90.00°
Closest atoms and distances in Å follow each position.
Positions (direct):
Tb 0.0000 0.0000 0.0000  8 Rh 3.02, 2 Tb 3.33
Tb 0.0000 0.0000 0.3206  4 Rh 2.97, 4 Ga 3.11
Tb 0.0000 0.0000 0.6794  4 Rh 2.97, 4 Ga 3.11
Ga 0.5000 0.5000 0.5000  8 Tb 3.11
Rh 0.5000 0.5000 0.1647  8 Tb 2.97-3.02
Rh 0.5000 0.5000 0.8353  8 Tb 2.97-3.02


Entry 8:
Crystalline Tb6GaRh2 at its relaxed geometry. Source: the Alexandria database, functional GGA-PBE.

V   25.62 Å³ per atom
Total magnetic moment   0.000 μB/atom
D(E_F)   13.28 states/eV/cell
ΔE_f   -0.58 eV per atom

a = 8.4442 Å, b = 8.4442 Å, c = 8.4442 Å
α = 112.84°, β = 110.80°, γ = 104.87°
Closest atoms and distances in Å follow each position.
Positions (direct):
Tb 0.0442 0.2392 0.8050  1 Rh 2.79, 1 Ga 3.09
Tb 0.1781 0.2832 0.4612  3 Rh 2.98-3.02, 1 Ga 3.15
Tb 0.1781 0.7168 0.8949  3 Rh 2.98-3.02, 1 Ga 3.15
Tb 0.3308 0.0249 0.6942  3 Rh 2.73-2.99
Tb 0.3308 0.6366 0.3058  3 Rh 2.73-2.99
Tb 0.4342 0.2392 0.1950  1 Rh 2.79, 1 Ga 3.09
Tb 0.5658 0.7608 0.8050  1 Rh 2.79, 1 Ga 3.09
Tb 0.6692 0.3634 0.6942  3 Rh 2.73-2.99
Tb 0.6692 0.9751 0.3058  3 Rh 2.73-2.99
Tb 0.8219 0.2832 0.1051  3 Rh 2.98-3.02, 1 Ga 3.15
Tb 0.8219 0.7168 0.5387  3 Rh 2.98-3.02, 1 Ga 3.15
Tb 0.9558 0.7608 0.1950  1 Rh 2.79, 1 Ga 3.09
Ga 0.0000 0.0000 0.0000  8 Tb 3.09-3.15, 2 Rh 3.18
Ga 0.5000 0.5000 0.0000  8 Tb 3.27-3.35
Rh 0.1331 0.6331 0.5000  6 Tb 2.73-2.98, 1 Rh 2.74
Rh 0.3311 0.0000 0.3311  8 Tb 2.79-3.02
Rh 0.6689 0.0000 0.6689  8 Tb 2.79-3.02
Rh 0.8669 0.3669 0.5000  6 Tb 2.73-2.98, 1 Rh 2.74


Please write out number 2 again, unchanged.
Crystalline TbGa3Rh3 at its relaxed geometry. Source: the Alexandria database, functional GGA-PBE.

Distance to the lowest polymorph of the same formula   0.56 eV/f.u.
V   17.18 Å³ per atom
Total magnetic moment   0.000 μB/atom
D(E_F)   7.32 states/eV/cell
ΔE_f   -0.59 eV per atom

a = 7.2746 Å, b = 7.2746 Å, c = 7.2746 Å
α = 55.00°, β = 55.00°, γ = 55.00°
Closest atoms and distances in Å follow each position.
Positions (direct):
Tb 0.1617 0.1617 0.1617  6 Rh 2.82-2.94, 6 Ga 3.08-3.13
Tb 0.8383 0.8383 0.8383  6 Rh 2.82-2.94, 6 Ga 3.08-3.13
Ga 0.0407 0.2364 0.6001  4 Rh 2.53-2.64, 2 Ga 2.66
Ga 0.2364 0.6001 0.0407  4 Rh 2.53-2.64, 2 Ga 2.66
Ga 0.3999 0.9593 0.7636  4 Rh 2.53-2.64, 2 Ga 2.66
Ga 0.6001 0.0407 0.2364  4 Rh 2.53-2.64, 2 Ga 2.66
Ga 0.7636 0.3999 0.9593  4 Rh 2.53-2.64, 2 Ga 2.66
Ga 0.9593 0.7636 0.3999  4 Rh 2.53-2.64, 2 Ga 2.66
Rh 0.1891 0.4260 0.6785  4 Ga 2.53-2.64, 1 Tb 2.82
Rh 0.3215 0.8109 0.5740  4 Ga 2.53-2.64, 1 Tb 2.82
Rh 0.4260 0.6785 0.1891  4 Ga 2.53-2.64, 1 Tb 2.82
Rh 0.5740 0.3215 0.8109  4 Ga 2.53-2.64, 1 Tb 2.82
Rh 0.6785 0.1891 0.4260  4 Ga 2.53-2.64, 1 Tb 2.82
Rh 0.8109 0.5740 0.3215  4 Ga 2.53-2.64, 1 Tb 2.82


Look up the D(E_F) of the fourth one. 12.42 states/eV/cell


What did the third record say?
Crystalline Tb6GaRh5 at its relaxed geometry. Source: the Alexandria database, functional GGA-PBE.

V   20.87 Å³ per atom
Total magnetic moment   0.000 μB/atom
D(E_F)   6.55 states/eV/cell
ΔE_f   -0.78 eV per atom

a = 8.5121 Å, b = 8.5121 Å, c = 8.5121 Å
α = 146.59°, β = 131.90°, γ = 59.83°
Closest atoms and distances in Å follow each position.
Positions (direct):
Tb 0.0765 0.3305 0.7461  7 Rh 2.98-3.03, 1 Ga 3.06
Tb 0.2411 0.0000 0.2411  6 Rh 2.96-3.02, 2 Ga 3.04
Tb 0.4156 0.6695 0.7461  7 Rh 2.98-3.03, 1 Ga 3.06
Tb 0.5844 0.3305 0.2539  7 Rh 2.98-3.03, 1 Ga 3.06
Tb 0.7589 0.0000 0.7589  6 Rh 2.96-3.02, 2 Ga 3.04
Tb 0.9235 0.6695 0.2539  7 Rh 2.98-3.03, 1 Ga 3.06
Ga 0.5000 0.5000 0.0000  8 Tb 3.04-3.06
Rh 0.0000 0.5000 0.5000  8 Tb 2.96-3.03
Rh 0.1679 0.1679 0.0000  8 Tb 2.98-2.99
Rh 0.3354 0.8354 0.5000  8 Tb 2.98-3.02
Rh 0.6646 0.1646 0.5000  8 Tb 2.98-3.02
Rh 0.8321 0.8321 0.0000  8 Tb 2.98-2.99